1.
A plane-wave DFT calculation with GGA-PBE was carried out for an optimized crystal structure of Li8TaO6.

Cell: 5.4205 5.4205 15.3242 Å, 90.00 90.00 120.00°
Space group R-3 (No. 148, hexagonal axes)
Asymmetric unit:
Li 0.0000 0.0000 0.1592
Li 0.0156 0.6433 0.3796
Ta 0.0000 0.0000 0.5000
O 0.0087 0.6945 0.5806

***

2.
A plane-wave DFT calculation with GGA-PBE was carried out for an optimized crystal structure of LiTa2O4.

Cell: 8.518 8.518 8.518 Å, 90.00 90.00 90.00°
Space group Fd-3m (No. 227, origin choice 2)
Asymmetric unit:
Li 0.125 0.125 0.125
Ta 0.000 0.000 0.500
O 0.002 0.002 0.748

***

3.
A plane-wave DFT calculation with GGA-PBE was carried out for an optimized crystal structure of Li2Ta2O5.

Cell: 3.570 3.570 6.096 Å, 90.00 90.00 90.00°
Space group P4/mmm (No. 123)
Asymmetric unit:
Li 0.000 0.000 0.221
Ta 0.500 0.500 0.000
Ta 0.500 0.500 0.500
O 0.000 0.000 0.500
O 0.000 0.500 0.195

Output
relative energy among the computed polymorphs: 6.105 eV/f.u.

***

| no. | energy (eV per atom) |
| --- | --- |
| 1 | -5.7934 |
| 2 | -8.7654 |
| 3 | -7.3942 |